A plane-wave DFT calculation with PBE was carried out for a geometry-optimized Hg2IrBr structure.

The space group is F-43m (No. 216) and the conventional cell measures 6.9155, 6.9155 and 6.9155 Å, with angles of 90.00, 90.00 and 90.00 degrees. The distinct sites, in fractional coordinates, are Hg at (0.0000, 0.0000, 0.0000), Hg at (0.2500, 0.2500, 0.2500), Ir at (0.2500, 0.2500, 0.7500) and Br at (0.0000, 0.0000, 0.5000).

The value obtained for the energy above the most stable polymorph in this dataset is 502 meV per atom. As for the formation energy (no corrections): 0.8123 eV/atom. Its spin magnetization is 0.000 μB/atom.